[1]
A plane-wave DFT calculation with PBE was carried out for a relaxed Na2SrCdTe crystal.

Results
E_form (uncorrected) ... -0.16 eV per atom
Density of states at the Fermi level ... 2.04 states/eV/cell

Cell: 5.7249 5.7249 6.4707 Å, 90.00 90.00 90.00°
With the nearest neighbours (Å) after each atom.
Space group P4/mmm (No. 123)
Asymmetric unit:
Na: 0.0000 0.5000 0.0000  2 Te 2.86
Sr: 0.0000 0.0000 0.5000  4 Cd 4.05, 8 Na 4.32
Cd: 0.5000 0.5000 0.5000  2 Te 3.24
Te: 0.5000 0.5000 0.0000  4 Na 2.86

---

[2]
A plane-wave DFT calculation with PBE was carried out for a relaxed Ag5Sn2S5 crystal.

Results
E_form (uncorrected) ... -0.03 eV per atom
Density of states at the Fermi level ... 4.79 states/eV/cell

Cell: 12.8428 3.8526 10.9123 Å, 90.00 105.56 90.00°
With the nearest neighbours (Å) after each atom.
Space group C2/m (No. 12)
Asymmetric unit:
Ag: 0.0000 0.0000 0.0000  4 S 2.67
Ag: 0.1542 0.0000 0.5652  5 S 2.72-3.01, 1 Ag 2.97
Ag: 0.2260 0.0000 0.8479  5 S 2.67-2.89, 1 Ag 2.97
Sn: 0.0490 0.5000 0.2753  4 S 2.68-2.72
S: 0.0000 0.5000 0.5000  2 Sn 2.69, 4 Ag 2.72
S: 0.1179 0.5000 0.9338  5 Ag 2.67-2.69, 1 Sn 2.68
S: 0.2042 0.0000 0.3111  2 Sn 2.72, 5 Ag 2.74-3.01

---

[3]
A plane-wave DFT calculation with PBE was carried out for a relaxed Nd3SeN2 crystal.

Results
E_form (uncorrected) ... -1.40 eV per atom
Energy relative to the lowest polymorph listed for this composition ... 0.000 eV per formula unit
Density of states at the Fermi level ... 11.25 states/eV/cell

Cell: 3.9166 13.2828 10.0504 Å, 90.00 90.00 90.00°
With the nearest neighbours (Å) after each atom.
Space group Cmcm (No. 63)
Asymmetric unit:
Nd: 0.0000 0.0622 0.2500  2 N 2.31
Nd: 0.0000 0.3799 0.0641  1 N 2.21
Se: 0.0000 0.2553 0.7500  6 Nd 3.12-3.25
N: 0.0000 0.0000 0.0000  6 Nd 2.61-2.64
N: 0.0000 0.4695 0.2500  4 Nd 2.21-2.31

---

[4]
A plane-wave DFT calculation with PBE was carried out for a relaxed AlTcSbRh2 crystal.

Results
E_form (uncorrected) ... 0.97 eV per atom
Density of states at the Fermi level ... 4.92 states/eV/cell

Cell: 4.7104 4.7104 5.0390 Å, 90.00 90.00 90.00°
With the nearest neighbours (Å) after each atom.
Space group P4/mmm (No. 123)
Asymmetric unit:
Al: 0.0000 0.0000 0.0000  4 Sb 3.33, 8 Rh 3.45
Tc: 0.5000 0.5000 0.5000  4 Rh 2.36, 2 Sb 2.52
Sb: 0.5000 0.5000 0.0000  2 Tc 2.52
Rh: 0.0000 0.5000 0.5000  2 Tc 2.36

---

[5]
A plane-wave DFT calculation with PBE was carried out for a relaxed In2PbClO crystal.

Results
E_form (uncorrected) ... 0.46 eV per atom
Density of states at the Fermi level ... 17.64 states/eV/cell

Cell: 6.0524 6.0524 5.3621 Å, 90.00 90.00 90.00°
With the nearest neighbours (Å) after each atom.
Space group P4/mmm (No. 123)
Asymmetric unit:
In: 0.0000 0.5000 0.0000  2 Pb 3.03
Pb: 0.0000 0.0000 0.0000  2 Cl 2.68
Cl: 0.0000 0.0000 0.5000  2 Pb 2.68
O: 0.5000 0.5000 0.5000  8 In 4.04, 4 Cl 4.28

---

[6]
A plane-wave DFT calculation with PBE was carried out for a relaxed Cu3AsBr crystal.

Results
E_form (uncorrected) ... 0.31 eV per atom
Energy relative to the lowest polymorph listed for this composition ... 0.000 eV per formula unit
Density of states at the Fermi level ... 7.68 states/eV/cell

Cell: 4.6420 4.6420 4.6420 Å, 90.00 90.00 90.00°
With the nearest neighbours (Å) after each atom.
Space group Pm-3m (No. 221)
Asymmetric unit:
Cu: 0.0000 0.0000 0.5000  2 As 2.32
As: 0.0000 0.0000 0.0000  6 Cu 2.32
Br: 0.5000 0.5000 0.5000  12 Cu 3.28

---

[7]
A plane-wave DFT calculation with PBE was carried out for a relaxed Pm12Dy6Tm crystal.

Results
Energy relative to the lowest polymorph listed for this composition ... 3.792 eV per formula unit
Density of states at the Fermi level ... 97.50 states/eV/cell
ΔE_f ... 6.40 eV per formula unit

Cell: 16.1516 16.1516 8.6697 Å, 90.00 90.00 120.00°
With the nearest neighbours (Å) after each atom.
Space group R-3m (No. 166, hexagonal axes)
Asymmetric unit:
Pm: 0.0000 0.3847 0.0000  4 Pm 3.16-3.23, 2 Dy 3.44
Pm: 0.0904 0.5452 0.3202  2 Pm 3.16, 2 Dy 3.46
Dy: 0.0810 0.1621 0.1464  2 Dy 3.40, 4 Pm 3.44-3.46
Tm: 0.0000 0.0000 0.5000  6 Pm 3.65, 6 Dy 3.81

---

[8]
A plane-wave DFT calculation with PBE was carried out for a relaxed GaPd6Au crystal.

Results
Energy relative to the lowest polymorph listed for this composition ... 0.000 eV per formula unit
Density of states at the Fermi level ... 70.12 states/eV/cell
ΔE_f ... -2.04 eV per formula unit

Cell: 7.8523 11.2592 11.2336 Å, 90.00 90.00 90.00°
With the nearest neighbours (Å) after each atom.
Space group Cmmm (No. 65)
Asymmetric unit:
Ga: 0.0000 0.0000 0.2502  12 Pd 2.73-2.81
Ga: 0.0000 0.2535 0.0000  12 Pd 2.74-2.85
Pd: 0.0000 0.0000 0.0000  8 Pd 2.76, 4 Ga 2.81-2.85
Pd: 0.0000 0.0000 0.5000  8 Pd 2.77, 2 Ga 2.81, 2 Au 2.85
Pd: 0.0000 0.2487 0.2439  8 Pd 2.73-2.86, 2 Ga 2.74-2.80, 2 Au 2.83-2.88
Pd: 0.0000 0.5000 0.0000  2 Ga 2.78, 2 Au 2.80, 8 Pd 2.81
Pd: 0.0000 0.5000 0.5000  4 Au 2.78-2.82, 8 Pd 2.84
Pd: 0.2442 0.1235 0.3716  1 Ga 2.73, 8 Pd 2.77-2.88, 3 Au 2.80-2.84
Pd: 0.2451 0.1262 0.1220  8 Pd 2.73-2.84, 3 Ga 2.76-2.79, 1 Au 2.84
Au: 0.0000 0.2528 0.5000  12 Pd 2.78-2.88
Au: 0.0000 0.5000 0.2490  12 Pd 2.80-2.84

---

[9]
A plane-wave DFT calculation with PBE was carried out for a relaxed Hf8SbH6 crystal.

Results
Density of states at the Fermi level ... 28.65 states/eV/cell
VASP energy ... -7.1795 eV/atom

Cell: 8.8877 8.8877 9.3564 Å, 90.00 90.00 120.00°
With the nearest neighbours (Å) after each atom.
Space group R-3 (No. 148, hexagonal axes)
Asymmetric unit:
Hf: 0.0000 0.0000 0.1774  3 H 2.02
Hf: 0.0007 0.6692 0.9324  3 H 2.00-2.07
Sb: 0.0000 0.0000 0.5000  8 Hf 3.02-3.12
H: 0.0763 0.2376 0.9049  4 Hf 2.00-2.07, 1 H 2.13

---

[10]
A plane-wave DFT calculation with PBE was carried out for a relaxed KLa2Ir2 crystal.

Results
Energy relative to the lowest polymorph listed for this composition ... 0.000 eV per formula unit
Density of states at the Fermi level ... 4.76 states/eV/cell
ΔE_f ... -1.46 eV per formula unit

Cell: 8.4375 8.4375 3.6902 Å, 90.00 90.00 90.00°
With the nearest neighbours (Å) after each atom.
Space group P4/mbm (No. 127)
Asymmetric unit:
K: 0.0000 0.0000 0.0000  4 Ir 3.29
La: 0.1477 0.3523 0.5000  6 Ir 3.01-3.19
Ir: 0.1338 0.6338 0.0000  6 La 3.01-3.19, 1 Ir 3.19, 2 K 3.29

---

[11]
A plane-wave DFT calculation with PBE was carried out for a relaxed Te2Pt2Au crystal.

Results
E_form (uncorrected) ... 0.02 eV per atom
Density of states at the Fermi level ... 5.34 states/eV/cell

Cell: 7.3192 7.3192 3.8660 Å, 90.00 90.00 90.00°
With the nearest neighbours (Å) after each atom.
Space group P4/mbm (No. 127)
Asymmetric unit:
Te: 0.1665 0.3335 0.0000  6 Pt 2.79-2.97
Pt: 0.1396 0.6396 0.5000  6 Te 2.79-2.97, 2 Au 2.83, 1 Pt 2.89
Au: 0.0000 0.0000 0.5000  4 Pt 2.83

---

[12]
A plane-wave DFT calculation with PBE was carried out for a relaxed Ca2HSeS crystal.

Results
Energy relative to the lowest polymorph listed for this composition ... 0.519 eV per formula unit
Density of states at the Fermi level ... 5.49 states/eV/cell

Cell: 4.1828 4.1828 20.1110 Å, 90.00 90.00 120.00°
With the nearest neighbours (Å) after each atom.
Space group R3m (No. 160, hexagonal axes)
Asymmetric unit:
Ca: 0.0000 0.0000 0.0000  3 H 2.42
Ca: 0.0000 0.0000 0.4859  3 S 2.82, 1 H 2.88, 3 Se 2.98
H: 0.0000 0.0000 0.3430  1 Se 2.07
Se: 0.0000 0.0000 0.2398  1 H 2.07
S: 0.0000 0.0000 0.7465  3 H 2.80, 6 Ca 2.82-2.90

---

Look up the density of states at the Fermi level of the seventh one. 97.50 states/eV/cell

---

What is the formula in the second record? Ag5Sn2S5